First-principles (GGA+U) data for a relaxed structure of Sr3Mn4O12, as listed in Alexandria via LeMat-Bulk.

Summary:
Electronic total energy in eV per atom: -6.6850

The structure in POSCAR format:
```
Sr3Mn4O12
1.0
-0.678 1.162 5.352
-4.397 -0.957 -3.194
0.500 -9.114 2.043
O Sr Mn
12 3 4
Direct
0.500 0.000 0.500 O
0.500 0.500 0.000 O
0.816 0.184 0.253 O
0.633 0.816 0.747 O
0.000 0.500 0.000 O
0.184 0.367 0.747 O
0.184 0.816 0.747 O
0.500 0.500 0.500 O
0.000 0.500 0.500 O
0.367 0.184 0.253 O
0.500 0.000 0.000 O
0.816 0.633 0.253 O
0.000 0.000 0.500 Sr
0.333 0.667 0.238 Sr
0.667 0.333 0.762 Sr
0.333 0.667 0.886 Mn
0.667 0.333 0.389 Mn
0.667 0.333 0.114 Mn
0.333 0.667 0.611 Mn
```